9
Lattice="-3.5783 4.5505 2.6433 -4.9769 -1.5774 3.6387 1.1419 0.9650 7.5452" Properties=species:S:1:pos:R:3 comment="CeGeF | the Alexandria database | PBE | optimized geometry" e_form_raw_ev_per_atom=-1.809 de_polymorph_ev_per_atom=0.1413 spacegroup=R3 dos_ef_per_ev_cell=18.6 pbc="T T T"
Ce -2.0259 1.9581 9.2077
Ce -0.8642 0.9781 4.8069
Ce -5.0420 1.9778 5.0909
Ge -4.4421 3.6900 9.7204
F -3.2186 0.8547 4.2056
Ge -5.4883 1.4711 10.4763
F -6.4152 0.8102 6.5473
Ge -6.5128 3.6983 11.2375
F -4.8402 4.2641 5.4099

---

8
Lattice="-5.3725 -0.9287 -4.6665 1.3811 -2.3105 -6.6687 -1.8498 -5.9114 -2.2152" Properties=species:S:1:pos:R:3 comment="Te6AsAu | the Alexandria database | PBE | optimized geometry" e_form_raw_ev_per_atom=0.144 spacegroup=P-1 dos_ef_per_ev_cell=4.4 pbc="T T T"
As -2.9206 -4.5753 -6.7752
Te -2.8090 -6.6049 -8.8664
Te -5.4181 -5.2038 -5.4088
Te -0.9210 -5.5172 -4.8756
Te -0.4232 -3.9467 -8.1416
Te -3.0323 -2.5457 -4.6840
Te -4.9203 -3.6334 -8.6748
Au 0.0000 0.0000 0.0000

---

4
Lattice="-1.8787 5.1107 4.6259 -5.0493 3.2317 3.8869 -2.5966 1.8692 6.3884" Properties=species:S:1:pos:R:3 comment="Sc2CuAu | the Alexandria database | PBE | optimized geometry" formation_energy_ev_per_atom=-0.274 de_polymorph_ev_per_atom=0.2701 spacegroup=R-3m dos_ef_per_ev_cell=3.8 pbc="T T T"
Sc -0.0418 0.0448 0.0654
Au -2.3812 2.5529 3.7253
Sc -4.7206 5.0610 7.3852
Cu -7.1435 7.6587 11.1759

---

5
Lattice="4.9260 0.0000 0.0000 0.0000 4.6768 0.0000 0.0000 0.0000 4.9260" Properties=species:S:1:pos:R:3 comment="Zr2ZnNiRh | the Alexandria database | PBE | optimized geometry" formation_energy_ev_per_atom=0.449 spacegroup=P4/mmm dos_ef_per_ev_cell=4.8 pbc="T T T"
Ni 2.4630 2.3384 2.4630
Zn 0.0000 2.3384 0.0000
Rh 0.0000 0.0000 0.0000
Zr 0.0000 0.0000 2.4630
Zr 2.4630 0.0000 0.0000

---

4
Lattice="5.2704 0.0000 0.0000 0.0000 5.2704 0.0000 0.0000 0.0000 5.4569" Properties=species:S:1:pos:R:3 comment="BaCa2In | the Alexandria database | PBE | optimized geometry" formation_energy_ev_per_atom=-0.161 spacegroup=P4/mmm dos_ef_per_ev_cell=6.3 pbc="T T T"
Ba 0.0000 2.6352 2.7285
Ca 2.6352 2.6352 0.0000
In 2.6352 0.0000 2.7285
Ca 0.0000 0.0000 0.0000

---

5
Lattice="-5.6420 -1.1351 -3.8201 1.4246 -6.7583 -0.0959 -3.7218 -0.8662 5.7542" Properties=species:S:1:pos:R:3 comment="RbSr3La | the Alexandria database | PBE | optimized geometry" formation_energy_ev_per_atom=0.553 de_polymorph_ev_per_atom=0.0000 spacegroup=Pm-3m dos_ef_per_ev_cell=9.4 pbc="T T T"
Sr -2.8210 -0.5675 -1.9100
Sr 0.7123 -3.3792 -0.0480
La 0.0000 0.0000 0.0000
Rb -3.9696 -4.3798 0.9191
Sr -1.8609 -0.4331 2.8771

---

Number 1: V 26.3 A^3/atom, raw total energy -5.950 eV per atom. Number 2: V 28.5 A^3/atom, raw total energy -3.203 eV per atom. Number 3: V 20.8 A^3/atom, raw total energy -5.283 eV per atom. Number 4: V 22.7 A^3/atom, raw total energy -5.852 eV per atom. Number 5: V 37.9 A^3/atom, raw total energy -2.327 eV per atom. Number 6: V 65.9 A^3/atom, raw total energy -1.635 eV per atom.